(1)
DFT (PBE) results for GeSbH after structural relaxation.

Cell: 4.4918 5.5808 5.8483 Å, 61.57 80.45 89.98°
Last column: nearest neighbours and their distance in Å.
Fractional coordinates of all 6 atoms:
Ge 0.1773 0.1130 0.2750  1 Ge 2.55, 1 Sb 2.76
Ge 0.8227 0.8870 0.7250  1 Ge 2.55, 1 Sb 2.76
Sb 0.1709 0.6943 0.1125  1 H 1.77
Sb 0.8291 0.3057 0.8875  1 H 1.77
H 0.1792 0.4184 0.6629  1 Sb 1.77
H 0.8208 0.5816 0.3371  1 Sb 1.77

Calculated values
Excess energy over the best structure of this formula in the dataset = 163 meV/atom
Crystal system = triclinic

---

(2)
DFT (PBE) results for GeSbH after structural relaxation.

Cell: 8.2031 6.0401 8.8814 Å, 63.38 41.17 75.45°
Last column: nearest neighbours and their distance in Å.
Fractional coordinates of all 12 atoms:
Ge 0.1070 0.8930 0.3547  1 H 1.58
Ge 0.6047 0.8953 0.3570  1 H 1.58
Ge 0.8930 0.1070 0.6453  1 H 1.58
Ge 0.8953 0.6047 0.1430  1 H 1.58
Sb 0.1663 0.4244 0.5546  1 H 2.66, 2 Ge 2.72-2.74
Sb 0.3953 0.6954 0.8256  1 H 2.66, 2 Ge 2.72-2.74
Sb 0.4244 0.1663 0.8547  1 H 2.66, 2 Ge 2.72-2.74
Sb 0.6954 0.3953 0.0837  1 H 2.66, 2 Ge 2.72-2.74
H 0.3782 0.8409 0.4176  1 Ge 1.58
H 0.8324 0.8867 0.8718  1 Ge 1.58
H 0.8409 0.3782 0.3633  1 Ge 1.58
H 0.8867 0.8324 0.4091  1 Ge 1.58

Calculated values
Excess energy over the best structure of this formula in the dataset = 0 meV/atom
Crystal system = orthorhombic

---

(3)
DFT (PBE) results for GeSbH2 after structural relaxation.

Cell: 4.1819 4.1819 4.1819 Å, 60.00 60.00 60.00°
Last column: nearest neighbours and their distance in Å.
Fractional coordinates of all 4 atoms:
Ge 0.0000 0.0000 0.0000  8 H 2.56
Sb 0.5000 0.5000 0.5000  8 H 2.56
H 0.2500 0.2500 0.2500  4 Ge 2.56, 4 Sb 2.56
H 0.7500 0.7500 0.7500  4 Ge 2.56, 4 Sb 2.56

Calculated values
Excess energy over the best structure of this formula in the dataset = 230 meV/atom
Crystal system = cubic

---

(4)
DFT (PBE) results for GeSb2H2 after structural relaxation.

Cell: 6.5828 6.5828 6.5828 Å, 147.75 147.75 46.26°
Last column: nearest neighbours and their distance in Å.
Fractional coordinates of all 5 atoms:
Ge 0.0000 0.0000 0.0000  8 Sb 3.05
Sb 0.3666 0.3666 0.0000  4 H 2.31
Sb 0.6334 0.6334 0.0000  4 H 2.31
H 0.2500 0.7500 0.5000  4 Sb 2.31, 4 H 2.59
H 0.7500 0.2500 0.5000  4 Sb 2.31, 4 H 2.59

Calculated values
Crystal system = tetragonal

---

(5)
DFT (PBE) results for GeSbH after structural relaxation.

Cell: 4.4381 4.4381 4.4381 Å, 125.35 125.35 80.95°
Last column: nearest neighbours and their distance in Å.
Fractional coordinates of all 3 atoms:
Ge 0.0000 0.0000 0.0000  1 H 1.76
Sb 0.5526 0.5526 0.0000  1 H 1.97
H 0.2603 0.2603 0.0000  1 Ge 1.76

Calculated values
Excess energy over the best structure of this formula in the dataset = 99 meV/atom
Crystal system = tetragonal

---

(6)
DFT (PBE) results for Ge2Sb2H after structural relaxation.

Cell: 6.4216 6.4216 5.0766 Å, 90.00 90.00 90.00°
Last column: nearest neighbours and their distance in Å.
Fractional coordinates of all 10 atoms:
Ge 0.1513 0.3487 0.0000  1 Ge 2.75, 2 Sb 2.88
Ge 0.3487 0.8487 0.0000  1 Ge 2.75, 2 Sb 2.88
Ge 0.6513 0.1513 0.0000  1 Ge 2.75, 2 Sb 2.88
Ge 0.8487 0.6513 0.0000  1 Ge 2.75, 2 Sb 2.88
Sb 0.1984 0.6984 0.5000  2 H 2.32
Sb 0.3016 0.1984 0.5000  2 H 2.32
Sb 0.6984 0.8016 0.5000  2 H 2.32
Sb 0.8016 0.3016 0.5000  2 H 2.32
H 0.0000 0.0000 0.5000  4 Sb 2.32
H 0.5000 0.5000 0.5000  4 Sb 2.32

Calculated values
Excess energy over the best structure of this formula in the dataset = 0 meV/atom
Crystal system = tetragonal

---

Per-record theoretical density, kg/m³: 5125, 5066, 6307, 6526, 5790, 6184
Per-record size of the total moment, μB per formula unit: 0.000, 0.000, 0.000, 0.000, 0.000, 0.000
Per-record total DFT energy (no corrections), eV/atom: -3.69, -3.86, -3.15, -3.41, -3.76, -3.68